DyH3Pd3 | Alexandria | PBE-GGA | relaxed; size of the total moment = 0.0 Bohr magnetons per cell; raw total energy = -4.588 eV per atom
1.0
2.767 1.598 6.576
-2.767 1.598 6.576
0.000 -3.195 6.576
Dy H Pd
2 6 6
direct
0.184 0.184 0.184
0.816 0.816 0.816
0.011 0.273 0.537
0.273 0.537 0.011
0.463 0.989 0.727
0.537 0.011 0.273
0.727 0.463 0.989
0.989 0.727 0.463
0.136 0.323 0.728
0.272 0.864 0.677
0.323 0.728 0.136
0.677 0.272 0.864
0.728 0.136 0.323
0.864 0.677 0.272